(1)
PBE-GGA BeCdSe2, relaxed; raw formation energy = 194 meV/atom
1.0
3.0562 -0.0003 0.0000
-1.0828 2.8580 0.0000
0.0000 0.0000 9.5214
Be Se Cd
1 2 1
Direct
0.0000 0.0000 0.4833
0.0000 0.0000 0.9652
0.5000 0.5000 0.3449
0.5000 0.5000 0.7065



(2)
PBE-GGA ZrBeCdSe2, relaxed; raw formation energy = 1195 meV/atom
1.0
5.0647 0.0000 0.0000
0.0000 5.5021 0.0000
0.0000 0.0000 5.0647
Be Se Zr Cd
1 2 1 1
Direct
0.5000 0.5000 0.5000
0.0000 0.0000 0.5000
0.5000 0.0000 0.0000
0.0000 0.5000 0.0000
0.0000 0.0000 0.0000



(3)
PBE-GGA BeCd2Si2, relaxed; raw formation energy = 761 meV/atom
1.0
4.3019 0.0000 0.0000
0.0000 4.3019 0.0000
2.1510 2.1510 5.4955
Be Si Cd
1 2 2
Direct
0.0000 0.0000 0.0000
0.3978 0.3978 0.2044
0.6022 0.6022 0.7956
0.7500 0.2500 0.5000
0.2500 0.7500 0.5000



no.,magnetic moment (Bohr magnetons per cell),total DFT energy (no corrections) (eV/atom)
1,0.00,-2.709
2,0.00,-2.837
3,0.00,-2.519